A plane-wave DFT calculation with SCAN was carried out for a PBEsol-optimized structure of ZrReHg2.

a = 2.9696 Å, b = 2.9696 Å, c = 9.3332 Å
α = 90.00°, β = 90.00°, γ = 110.75°
Closest atoms and distances in Å follow each position.
Element x y z (fractional)
Zr: 0.0000 0.0000 0.0000  2 Re 2.64
Re: 0.5000 0.5000 0.2169  2 Zr 2.64, 2 Hg 2.87
Hg: 0.0000 0.0000 0.4652  2 Re 2.87, 6 Hg 2.97-3.03
Hg: 0.5000 0.5000 0.7344  6 Hg 2.97-3.03, 2 Zr 3.00

Computed properties:
formation enthalpy at 0 K = 0.228 eV/atom
total magnetization = 0.000 μB per atom



A plane-wave DFT calculation with SCAN was carried out for a PBEsol-optimized structure of Hg4Rh.

a = 8.0188 Å, b = 8.0188 Å, c = 8.0188 Å
α = 152.73°, β = 152.73°, γ = 38.95°
Closest atoms and distances in Å follow each position.
Element x y z (fractional)
Hg: 0.0891 0.0891 0.0000  1 Hg 2.70, 4 Rh 2.99
Hg: 0.2500 0.7500 0.5000  4 Hg 2.67
Hg: 0.7500 0.2500 0.5000  4 Hg 2.67
Hg: 0.9109 0.9109 0.0000  1 Hg 2.70, 4 Rh 2.99
Rh: 0.5000 0.5000 0.0000  8 Hg 2.99

Computed properties:
formation enthalpy at 0 K = 0.495 eV/atom
total magnetization = 0.000 μB per atom



A plane-wave DFT calculation with SCAN was carried out for a PBEsol-optimized structure of Hg2Rh.

a = 4.5628 Å, b = 4.5628 Å, c = 2.9921 Å
α = 90.00°, β = 90.00°, γ = 90.00°
Closest atoms and distances in Å follow each position.
Element x y z (fractional)
Hg: 0.0000 0.5000 0.0000  4 Rh 2.73, 2 Hg 2.99
Hg: 0.5000 0.0000 0.0000  4 Rh 2.73, 2 Hg 2.99
Rh: 0.0000 0.0000 0.5000  8 Hg 2.73, 2 Rh 2.99

Computed properties:
formation enthalpy at 0 K = -0.016 eV/atom
total magnetization = 0.000 μB per atom



Q: Among the records above, which one has the lowest formation enthalpy at 0 K?
A: Hg2Rh